First-principles (SCAN) data for NiPt at its PBEsol-relaxed geometry, as listed in the Alexandria database.

* space group: No. 2
* formation enthalpy at 0 K: -131 meV/atom
* density of states at the Fermi level: 0.742 states/eV per atom

The structure in POSCAR format:
```
NiPt
1.0
4.540 0.000 0.000
0.028 5.269 0.000
0.028 2.560 6.464
Ni Pt
6 6
direct
0.002 0.245 0.499 Ni
0.168 0.838 0.830 Ni
0.336 0.414 0.166 Ni
0.664 0.586 0.834 Ni
0.832 0.162 0.170 Ni
0.998 0.755 0.501 Ni
0.159 0.354 0.835 Pt
0.326 0.920 0.166 Pt
0.500 0.000 0.500 Pt
0.500 0.500 0.500 Pt
0.674 0.080 0.834 Pt
0.841 0.646 0.165 Pt
```